(1)
The following is a DFT calculation (PBE-GGA) of crystalline Tb3Sm3Mg at its relaxed geometry.

Summary:
excess energy over the best structure of this formula in the dataset = 52.9 kJ/mol of formula units
calculated total energy = -57.97 eV/cell
energy of formation = 0.09 eV/atom
M_tot = 0.00 Bohr magnetons per cell
theoretical density = 6.73 g cm⁻³
V = 33.55 A^3/atom

Lattice parameters (Å, degrees): 14.4889 14.4889 14.4889 24.77 24.77 24.77
Fractional coordinates of all 14 atoms:
Tb (0.0350, 0.3682, 0.7007)
Tb (0.2993, 0.9650, 0.6318)
Tb (0.3681, 0.7007, 0.0350)
Tb (0.6319, 0.2993, 0.9650)
Tb (0.7007, 0.0350, 0.3681)
Tb (0.9650, 0.6318, 0.2993)
Sm (0.1016, 0.7703, 0.4357)
Sm (0.2297, 0.5643, 0.8984)
Sm (0.4357, 0.1016, 0.7703)
Sm (0.5643, 0.8984, 0.2297)
Sm (0.7703, 0.4357, 0.1016)
Sm (0.8984, 0.2297, 0.5643)
Mg (0.1667, 0.1667, 0.1667)
Mg (0.8333, 0.8333, 0.8333)

***

(2)
The following is a DFT calculation (PBE-GGA) of crystalline Tb5Sm3Mg12 at its relaxed geometry.

Summary:
calculated total energy = -168.20 eV/cell
energy of formation = 0.72 eV/atom
M_tot = 0.00 Bohr magnetons per cell
theoretical density = 3.45 g cm⁻³
V = 36.96 A^3/atom

Lattice parameters (Å, degrees): 15.6612 15.6612 15.6612 109.47 109.47 109.47
Fractional coordinates of all 80 atoms:
Tb (0.0000, 0.0000, 0.0000)
Tb (0.0000, 0.0000, 0.5000)
Tb (0.0000, 0.5000, 0.0000)
Tb (0.0000, 0.5000, 0.5000)
Tb (0.1250, 0.7500, 0.8750)
Tb (0.1250, 0.8750, 0.2500)
Tb (0.2500, 0.1250, 0.8750)
Tb (0.2500, 0.6250, 0.3750)
Tb (0.3750, 0.2500, 0.6250)
Tb (0.3750, 0.6250, 0.7500)
Tb (0.5000, 0.0000, 0.0000)
Tb (0.5000, 0.0000, 0.5000)
Tb (0.5000, 0.5000, 0.0000)
Tb (0.5000, 0.5000, 0.5000)
Tb (0.6250, 0.3750, 0.2500)
Tb (0.6250, 0.7500, 0.3750)
Tb (0.7500, 0.3750, 0.6250)
Tb (0.7500, 0.8750, 0.1250)
Tb (0.8750, 0.1250, 0.7500)
Tb (0.8750, 0.2500, 0.1250)
Sm (0.1250, 0.2500, 0.3750)
Sm (0.1250, 0.3750, 0.7500)
Sm (0.2500, 0.3750, 0.1250)
Sm (0.2500, 0.8750, 0.6250)
Sm (0.3750, 0.1250, 0.2500)
Sm (0.3750, 0.7500, 0.1250)
Sm (0.6250, 0.2500, 0.8750)
Sm (0.6250, 0.8750, 0.7500)
Sm (0.7500, 0.1250, 0.3750)
Sm (0.7500, 0.6250, 0.8750)
Sm (0.8750, 0.6250, 0.2500)
Sm (0.8750, 0.7500, 0.6250)
Mg (0.0729, 0.6505, 0.4222)
Mg (0.0729, 0.9224, 0.6507)
Mg (0.0776, 0.2284, 0.1505)
Mg (0.0776, 0.3493, 0.9271)
Mg (0.0778, 0.7284, 0.6507)
Mg (0.0778, 0.8495, 0.4271)
Mg (0.1505, 0.0776, 0.2284)
Mg (0.1507, 0.2284, 0.5778)
Mg (0.1507, 0.4224, 0.5729)
Mg (0.1505, 0.5729, 0.9222)
Mg (0.2284, 0.1505, 0.0776)
Mg (0.2284, 0.5778, 0.1507)
Mg (0.2716, 0.3493, 0.9222)
Mg (0.2716, 0.4224, 0.3495)
Mg (0.3495, 0.2716, 0.4224)
Mg (0.3495, 0.5778, 0.9271)
Mg (0.3493, 0.9222, 0.2716)
Mg (0.3493, 0.9271, 0.0776)
Mg (0.4222, 0.0729, 0.6505)
Mg (0.4224, 0.3495, 0.2716)
Mg (0.4224, 0.5729, 0.1507)
Mg (0.4222, 0.8493, 0.7716)
Mg (0.4271, 0.0778, 0.8495)
Mg (0.4271, 0.8493, 0.5776)
Mg (0.5729, 0.1507, 0.4224)
Mg (0.5729, 0.9222, 0.1505)
Mg (0.5778, 0.1507, 0.2284)
Mg (0.5776, 0.4271, 0.8493)
Mg (0.5776, 0.6505, 0.7284)
Mg (0.5778, 0.9271, 0.3495)
Mg (0.6507, 0.0729, 0.9224)
Mg (0.6507, 0.0778, 0.7284)
Mg (0.6505, 0.4222, 0.0729)
Mg (0.6505, 0.7284, 0.5776)
Mg (0.7284, 0.5776, 0.6505)
Mg (0.7284, 0.6507, 0.0778)
Mg (0.7716, 0.4222, 0.8493)
Mg (0.7716, 0.8495, 0.9224)
Mg (0.8495, 0.4271, 0.0778)
Mg (0.8493, 0.5776, 0.4271)
Mg (0.8493, 0.7716, 0.4222)
Mg (0.8495, 0.9224, 0.7716)
Mg (0.9222, 0.1505, 0.5729)
Mg (0.9222, 0.2716, 0.3493)
Mg (0.9224, 0.6507, 0.0729)
Mg (0.9224, 0.7716, 0.8495)
Mg (0.9271, 0.0776, 0.3493)
Mg (0.9271, 0.3495, 0.5778)

***

(3)
The following is a DFT calculation (PBE-GGA) of crystalline TbSm3Mg4 at its relaxed geometry.

Summary:
calculated total energy = -25.93 eV/cell
energy of formation = -0.10 eV/atom
M_tot = 0.00 Bohr magnetons per cell
theoretical density = 5.19 g cm⁻³
V = 28.27 A^3/atom

Lattice parameters (Å, degrees): 3.8351 3.8351 15.3775 90.00 90.00 90.00
Fractional coordinates of all 8 atoms:
Tb (0.0000, 0.0000, 0.0000)
Sm (0.0000, 0.0000, 0.2475)
Sm (0.0000, 0.0000, 0.5000)
Sm (0.0000, 0.0000, 0.7525)
Mg (0.5000, 0.5000, 0.1217)
Mg (0.5000, 0.5000, 0.3736)
Mg (0.5000, 0.5000, 0.6264)
Mg (0.5000, 0.5000, 0.8783)

***

(4)
The following is a DFT calculation (PBE-GGA) of crystalline TbSm8Mg2 at its relaxed geometry.

Summary:
excess energy over the best structure of this formula in the dataset = 115.0 kJ/mol of formula units
calculated total energy = -44.24 eV/cell
energy of formation = 0.12 eV/atom
M_tot = 0.00 Bohr magnetons per cell
theoretical density = 6.50 g cm⁻³
V = 32.76 A^3/atom

Lattice parameters (Å, degrees): 9.0529 9.0529 5.7815 103.05 103.05 121.11
Fractional coordinates of all 11 atoms:
Tb (0.0000, 0.0000, 0.0000)
Sm (0.0974, 0.3235, 0.6382)
Sm (0.2107, 0.7893, 0.0000)
Sm (0.3235, 0.0974, 0.6382)
Sm (0.4099, 0.4099, 0.2055)
Sm (0.5901, 0.5901, 0.7945)
Sm (0.6765, 0.9026, 0.3618)
Sm (0.7893, 0.2107, 0.0000)
Sm (0.9026, 0.6765, 0.3618)
Mg (0.3069, 0.6931, 0.5000)
Mg (0.6931, 0.3069, 0.5000)

***

(5)
The following is a DFT calculation (PBE-GGA) of crystalline Tb2SmMg3 at its relaxed geometry.

Summary:
calculated total energy = -19.31 eV/cell
energy of formation = -0.09 eV/atom
M_tot = 0.00 Bohr magnetons per cell
theoretical density = 5.39 g cm⁻³
V = 27.76 A^3/atom

Lattice parameters (Å, degrees): 3.8129 3.8129 11.4572 90.00 90.00 90.00
Fractional coordinates of all 6 atoms:
Tb (0.0000, 0.0000, 0.1646)
Tb (0.0000, 0.0000, 0.8354)
Sm (0.0000, 0.0000, 0.5000)
Mg (0.5000, 0.5000, 0.0000)
Mg (0.5000, 0.5000, 0.3293)
Mg (0.5000, 0.5000, 0.6707)

***

(6)
The following is a DFT calculation (PBE-GGA) of crystalline Tb3Sm6Mg at its relaxed geometry.

Summary:
excess energy over the best structure of this formula in the dataset = 0.0 kJ/mol of formula units
calculated total energy = -85.25 eV/cell
energy of formation = 0.12 eV/atom
M_tot = 0.00 Bohr magnetons per cell
theoretical density = 7.18 g cm⁻³
V = 32.46 A^3/atom

Lattice parameters (Å, degrees): 8.8019 8.8019 9.1966 90.00 90.00 114.33
Fractional coordinates of all 20 atoms:
Tb (0.0334, 0.9666, 0.5000)
Tb (0.1794, 0.4672, 0.0145)
Tb (0.4672, 0.1794, 0.5145)
Tb (0.5328, 0.8206, 0.0145)
Tb (0.8206, 0.5328, 0.5145)
Tb (0.9666, 0.0334, 0.0000)
Sm (0.0204, 0.3308, 0.3372)
Sm (0.2023, 0.7977, 0.2231)
Sm (0.2091, 0.3587, 0.6729)
Sm (0.3308, 0.0204, 0.8372)
Sm (0.3587, 0.2091, 0.1729)
Sm (0.4378, 0.5622, 0.3555)
Sm (0.5622, 0.4378, 0.8555)
Sm (0.6413, 0.7909, 0.6729)
Sm (0.6692, 0.9796, 0.3372)
Sm (0.7909, 0.6413, 0.1729)
Sm (0.7977, 0.2023, 0.7231)
Sm (0.9796, 0.6692, 0.8372)
Mg (0.2567, 0.7433, 0.5706)
Mg (0.7433, 0.2567, 0.0706)

***

(7)
The following is a DFT calculation (PBE-GGA) of crystalline Tb9Sm4Mg11 at its relaxed geometry.

Summary:
calculated total energy = -78.95 eV/cell
energy of formation = -0.04 eV/atom
M_tot = 0.00 Bohr magnetons per cell
theoretical density = 5.62 g cm⁻³
V = 28.32 A^3/atom

Lattice parameters (Å, degrees): 14.0298 14.0298 3.6457 90.00 90.00 108.70
Fractional coordinates of all 24 atoms:
Tb (0.0000, 0.0000, 0.0000)
Tb (0.1197, 0.6521, 0.0000)
Tb (0.2925, 0.4832, 0.0000)
Tb (0.3479, 0.8803, 0.0000)
Tb (0.4832, 0.2925, 0.0000)
Tb (0.5168, 0.7075, 0.0000)
Tb (0.6521, 0.1197, 0.0000)
Tb (0.7075, 0.5168, 0.0000)
Tb (0.8803, 0.3479, 0.0000)
Sm (0.0802, 0.2483, 0.0000)
Sm (0.2483, 0.0802, 0.0000)
Sm (0.7517, 0.9198, 0.0000)
Sm (0.9198, 0.7517, 0.0000)
Mg (0.0890, 0.4473, 0.5000)
Mg (0.1352, 0.8648, 0.5000)
Mg (0.2892, 0.2892, 0.5000)
Mg (0.3187, 0.6813, 0.5000)
Mg (0.4473, 0.0890, 0.5000)
Mg (0.5000, 0.5000, 0.5000)
Mg (0.5527, 0.9110, 0.5000)
Mg (0.6813, 0.3187, 0.5000)
Mg (0.7108, 0.7108, 0.5000)
Mg (0.8648, 0.1352, 0.5000)
Mg (0.9110, 0.5527, 0.5000)

***

(8)
The following is a DFT calculation (PBE-GGA) of crystalline Tb12Sm6Mg at its relaxed geometry.

Summary:
excess energy over the best structure of this formula in the dataset = 11.0 kJ/mol of formula units
calculated total energy = -82.94 eV/cell
energy of formation = 0.13 eV/atom
M_tot = 0.00 Bohr magnetons per cell
theoretical density = 7.40 g cm⁻³
V = 33.47 A^3/atom

Lattice parameters (Å, degrees): 8.6755 8.6755 8.6755 97.22 97.22 97.22
Fractional coordinates of all 19 atoms:
Tb (0.0006, 0.2621, 0.7379)
Tb (0.1677, 0.5870, 0.5870)
Tb (0.2621, 0.7379, 0.0006)
Tb (0.2621, 0.9994, 0.7379)
Tb (0.4130, 0.4130, 0.8323)
Tb (0.4130, 0.8323, 0.4130)
Tb (0.5870, 0.1677, 0.5870)
Tb (0.5870, 0.5870, 0.1677)
Tb (0.7379, 0.0006, 0.2621)
Tb (0.7379, 0.2621, 0.9994)
Tb (0.8323, 0.4130, 0.4130)
Tb (0.9994, 0.7379, 0.2621)
Sm (0.1342, 0.4075, 0.1351)
Sm (0.1351, 0.1342, 0.4075)
Sm (0.4075, 0.1351, 0.1342)
Sm (0.5925, 0.8649, 0.8658)
Sm (0.8649, 0.8658, 0.5925)
Sm (0.8658, 0.5925, 0.8649)
Mg (0.0000, 0.0000, 0.0000)

***

(9)
The following is a DFT calculation (PBE-GGA) of crystalline TbSm4Mg4 at its relaxed geometry.

Summary:
calculated total energy = -53.54 eV/cell
energy of formation = 0.35 eV/atom
M_tot = 0.00 Bohr magnetons per cell
theoretical density = 4.62 g cm⁻³
V = 34.23 A^3/atom

Lattice parameters (Å, degrees): 8.6339 8.6339 8.2648 90.00 90.00 90.00
Fractional coordinates of all 18 atoms:
Tb (0.2500, 0.7500, 0.2500)
Tb (0.7500, 0.2500, 0.7500)
Sm (0.0496, 0.7500, 0.6041)
Sm (0.2500, 0.5496, 0.8959)
Sm (0.2500, 0.9504, 0.8959)
Sm (0.4504, 0.7500, 0.6041)
Sm (0.5496, 0.2500, 0.3959)
Sm (0.7500, 0.0496, 0.1041)
Sm (0.7500, 0.4504, 0.1041)
Sm (0.9504, 0.2500, 0.3959)
Mg (0.0624, 0.2500, 0.0108)
Mg (0.2500, 0.0624, 0.5108)
Mg (0.2500, 0.4376, 0.5108)
Mg (0.4376, 0.2500, 0.0108)
Mg (0.5624, 0.7500, 0.9892)
Mg (0.7500, 0.5624, 0.4892)
Mg (0.7500, 0.9376, 0.4892)
Mg (0.9376, 0.7500, 0.9892)

***

(10)
The following is a DFT calculation (PBE-GGA) of crystalline TbSm2Mg3 at its relaxed geometry.

Summary:
calculated total energy = -19.43 eV/cell
energy of formation = -0.10 eV/atom
M_tot = 0.00 Bohr magnetons per cell
theoretical density = 5.24 g cm⁻³
V = 28.12 A^3/atom

Lattice parameters (Å, degrees): 3.8293 3.8293 11.5077 90.00 90.00 90.00
Fractional coordinates of all 6 atoms:
Tb (0.0000, 0.0000, 0.0000)
Sm (0.0000, 0.0000, 0.3312)
Sm (0.0000, 0.0000, 0.6688)
Mg (0.5000, 0.5000, 0.1626)
Mg (0.5000, 0.5000, 0.5000)
Mg (0.5000, 0.5000, 0.8374)

***

(11)
The following is a DFT calculation (PBE-GGA) of crystalline Tb2SmMg6 at its relaxed geometry.

Summary:
calculated total energy = -24.29 eV/cell
energy of formation = -0.08 eV/atom
M_tot = 0.00 Bohr magnetons per cell
theoretical density = 4.30 g cm⁻³
V = 26.37 A^3/atom

Lattice parameters (Å, degrees): 9.1095 9.1095 3.3019 90.00 90.00 120.00
Fractional coordinates of all 9 atoms:
Tb (0.3333, 0.6667, 0.0000)
Tb (0.6667, 0.3333, 0.0000)
Sm (0.0000, 0.0000, 0.0000)
Mg (0.0000, 0.3350, 0.5000)
Mg (0.0000, 0.6650, 0.5000)
Mg (0.3350, 0.0000, 0.5000)
Mg (0.3350, 0.3350, 0.5000)
Mg (0.6650, 0.0000, 0.5000)
Mg (0.6650, 0.6650, 0.5000)

***

(12)
The following is a DFT calculation (PBE-GGA) of crystalline TbSm5Mg4 at its relaxed geometry.

Summary:
calculated total energy = -35.31 eV/cell
energy of formation = -0.07 eV/atom
M_tot = 0.00 Bohr magnetons per cell
theoretical density = 5.69 g cm⁻³
V = 29.44 A^3/atom

Lattice parameters (Å, degrees): 3.7926 3.7926 20.4660 90.00 90.00 90.00
Fractional coordinates of all 10 atoms:
Tb (0.0000, 0.0000, 0.0000)
Sm (0.5000, 0.5000, 0.1175)
Sm (0.5000, 0.5000, 0.3096)
Sm (0.5000, 0.5000, 0.5000)
Sm (0.5000, 0.5000, 0.6904)
Sm (0.5000, 0.5000, 0.8825)
Mg (0.0000, 0.0000, 0.2138)
Mg (0.0000, 0.0000, 0.4042)
Mg (0.0000, 0.0000, 0.5958)
Mg (0.0000, 0.0000, 0.7862)